Entry 1:
! CaVIr PBE-GGA optimized geometry; values from VASP
! Spin magnetization   1.19 μB per cell
! ΔE_f   -126 meV/atom
! Excess energy over the best structure of this formula in the dataset   0.1013 eV per atom
&SYSTEM
  ibrav = 0, nat = 6, ntyp = 3
/
ATOMIC_SPECIES
Ca 40.08 Ca.upf
V 50.94 V.upf
Ir 192.22 Ir.upf
ATOMIC_POSITIONS crystal
Ca 0.000 0.000 0.000
Ca 0.505 0.505 0.352
V 0.165 0.165 0.755
V 0.824 0.824 0.403
Ir 0.342 0.342 0.593
Ir 0.686 0.686 0.957
CELL_PARAMETERS angstrom
5.182 -2.112 0.000
5.182 2.112 0.000
-4.902 0.000 5.327


Entry 2:
! Nd7Tl4Bi PBE-GGA optimized geometry; values from VASP
! Spin magnetization   0.00 μB per cell
! ΔE_f   -275 meV/atom
&SYSTEM
  ibrav = 0, nat = 12, ntyp = 3
/
ATOMIC_SPECIES
Nd 144.24 Nd.upf
Tl 204.38 Tl.upf
Bi 208.98 Bi.upf
ATOMIC_POSITIONS crystal
Nd 0.000 0.000 0.000
Nd 0.221 0.221 0.832
Nd 0.332 0.332 0.595
Nd 0.435 0.435 0.272
Nd 0.565 0.565 0.728
Nd 0.668 0.668 0.405
Nd 0.779 0.779 0.168
Tl 0.065 0.065 0.414
Tl 0.220 0.220 0.192
Tl 0.780 0.780 0.808
Tl 0.935 0.935 0.586
Bi 0.500 0.500 0.000
CELL_PARAMETERS angstrom
8.282 -2.995 0.000
8.282 2.995 0.000
-4.813 0.000 7.859


Entry 3:
! Li3CdSb PBE-GGA optimized geometry; values from VASP
! ΔE_f (raw)   -123 kJ/mol of formula units
! Spin magnetization   0.00 μB per cell
! Excess energy over the best structure of this formula in the dataset   0.1100 eV per atom
&SYSTEM
  ibrav = 0, nat = 10, ntyp = 3
/
ATOMIC_SPECIES
Li 6.94 Li.upf
Cd 112.41 Cd.upf
Sb 121.76 Sb.upf
ATOMIC_POSITIONS crystal
Li 0.238 0.728 0.728
Li 0.272 0.272 0.762
Li 0.272 0.762 0.272
Li 0.728 0.238 0.728
Li 0.728 0.728 0.238
Li 0.762 0.272 0.272
Cd 0.329 0.329 0.329
Cd 0.671 0.671 0.671
Sb 0.201 0.201 0.201
Sb 0.799 0.799 0.799
CELL_PARAMETERS angstrom
2.924 1.688 7.509
-2.924 1.688 7.509
0.000 -3.376 7.509


Entry 4:
! Ca3W PBE-GGA optimized geometry; values from VASP
! Spin magnetization   0.00 μB per cell
! ΔE_f   873 meV/atom
! Excess energy over the best structure of this formula in the dataset   0.4813 eV per atom
&SYSTEM
  ibrav = 0, nat = 4, ntyp = 2
/
ATOMIC_SPECIES
Ca 40.08 Ca.upf
W 183.84 W.upf
ATOMIC_POSITIONS crystal
Ca 0.000 0.000 0.000
Ca 0.000 0.500 0.300
Ca 0.500 0.000 0.553
W 0.500 0.500 0.817
CELL_PARAMETERS angstrom
3.159 0.000 0.000
0.000 5.432 0.000
0.000 0.000 6.368


Entry 5:
! YTmOsRu PBE-GGA optimized geometry; values from VASP
! Spin magnetization   0.00 μB per cell
! ΔE_f   -196 meV/atom
&SYSTEM
  ibrav = 0, nat = 4, ntyp = 4
/
ATOMIC_SPECIES
Y 88.91 Y.upf
Tm 168.93 Tm.upf
Os 190.23 Os.upf
Ru 101.07 Ru.upf
ATOMIC_POSITIONS crystal
Y 0.000 0.000 0.000
Tm 0.500 0.500 0.500
Os 0.750 0.750 0.750
Ru 0.250 0.250 0.250
CELL_PARAMETERS angstrom
0.000 3.388 3.388
3.388 0.000 3.388
3.388 3.388 0.000


Entry 6:
! YNbCrPt2 PBE-GGA optimized geometry; values from VASP
! Spin magnetization   0.98 μB per cell
! ΔE_f   1901 meV/atom
&SYSTEM
  ibrav = 0, nat = 5, ntyp = 4
/
ATOMIC_SPECIES
Y 88.91 Y.upf
Nb 92.91 Nb.upf
Cr 52.00 Cr.upf
Pt 195.08 Pt.upf
ATOMIC_POSITIONS crystal
Y 0.000 0.000 0.000
Nb 0.000 0.000 0.500
Cr 0.500 0.500 0.500
Pt 0.000 0.500 0.000
Pt 0.500 0.000 0.000
CELL_PARAMETERS angstrom
4.945 0.000 0.000
0.000 4.945 0.000
0.000 0.000 4.992


Which formula does entry 3 have?
Li3CdSb


Copy entry 1 word for word.
! CaVIr PBE-GGA optimized geometry; values from VASP
! Spin magnetization   1.19 μB per cell
! ΔE_f   -126 meV/atom
! Excess energy over the best structure of this formula in the dataset   0.1013 eV per atom
&SYSTEM
  ibrav = 0, nat = 6, ntyp = 3
/
ATOMIC_SPECIES
Ca 40.08 Ca.upf
V 50.94 V.upf
Ir 192.22 Ir.upf
ATOMIC_POSITIONS crystal
Ca 0.000 0.000 0.000
Ca 0.505 0.505 0.352
V 0.165 0.165 0.755
V 0.824 0.824 0.403
Ir 0.342 0.342 0.593
Ir 0.686 0.686 0.957
CELL_PARAMETERS angstrom
5.182 -2.112 0.000
5.182 2.112 0.000
-4.902 0.000 5.327


Please write out number 5 again, unchanged.
! YTmOsRu PBE-GGA optimized geometry; values from VASP
! Spin magnetization   0.00 μB per cell
! ΔE_f   -196 meV/atom
&SYSTEM
  ibrav = 0, nat = 4, ntyp = 4
/
ATOMIC_SPECIES
Y 88.91 Y.upf
Tm 168.93 Tm.upf
Os 190.23 Os.upf
Ru 101.07 Ru.upf
ATOMIC_POSITIONS crystal
Y 0.000 0.000 0.000
Tm 0.500 0.500 0.500
Os 0.750 0.750 0.750
Ru 0.250 0.250 0.250
CELL_PARAMETERS angstrom
0.000 3.388 3.388
3.388 0.000 3.388
3.388 3.388 0.000